Below is crystalline TlRuSe at its relaxed geometry, with properties calculated at the PBE level.

The space group is F-43m (No. 216) and the conventional cell measures 6.3734, 6.3734 and 6.3734 Å, with angles of 90.00, 90.00 and 90.00 degrees. The asymmetric unit holds Tl at (0.0000, 0.0000, 0.0000), Ru at (0.2500, 0.2500, 0.2500) and Se at (0.0000, 0.0000, 0.5000).

The calculation puts the total magnetic moment at 0.00 μB/cell. The energy above the most stable polymorph in this dataset comes out at 502 meV per atom. For the raw total energy, the calculation gives -4.641 eV per atom. The density of states at the Fermi level comes out at 1.36 states/eV per atom.